Below is an optimized crystal structure of CsTlVAs2, with properties calculated at the PBE level.

Cell: 5.9464 5.9464 5.4518 Å, 90.00 90.00 90.00°
With the nearest neighbours (Å) after each atom.
Sites, in units of the cell vectors:
1 Cs 0.0000 0.0000 0.0000  2 V 2.73, 4 As 2.97
2 Tl 0.5000 0.5000 0.5000  8 As 4.03, 4 V 4.20
3 V 0.0000 0.0000 0.5000  2 Cs 2.73
4 As 0.0000 0.5000 0.0000  2 Cs 2.97
5 As 0.5000 0.0000 0.0000  2 Cs 2.97

ΔE_f: 1676 meV/atom
energy: -2.6512 eV per atom

=====

Below is an optimized crystal structure of SiIrN, with properties calculated at the PBE level.

Cell: 3.6901 4.3271 4.9813 Å, 102.08 106.58 95.35°
With the nearest neighbours (Å) after each atom.
Sites, in units of the cell vectors:
1 Si 0.0000 0.0000 0.0000  2 N 1.75-1.76
2 Si 0.3219 0.5514 0.4285  2 N 1.80
3 Ir 0.4214 0.3278 0.8736  2 N 2.10-2.15, 1 Si 2.31
4 Ir 0.7680 0.1701 0.3937  2 N 2.15-2.37, 1 Si 2.36
5 N 0.2856 0.7244 0.1260  2 Si 1.76-1.80
6 N 0.6141 0.9094 0.6798  2 Si 1.75-1.80

formation energy from raw total energies: -0.1529 eV/atom
energy: -7.6893 eV per atom